Model i:
CeNdPd4 | PBE | relaxed

Computed properties:
V in Å³/f.u.: 118.7
Symmetry: No. 216

Cell and atoms, written as POSCAR:
```
CeNdPd4
1.0
5.516 0.000 0.000
2.758 4.777 0.000
2.758 1.592 4.504
Nd Pd Ce
1 4 1
direct
0.250 0.250 0.250 Nd
0.125 0.625 0.625 Pd
0.625 0.625 0.125 Pd
0.625 0.125 0.625 Pd
0.625 0.625 0.625 Pd
0.000 0.000 0.000 Ce
```



Model ii:
CeNdPd4 | PBE | relaxed

Computed properties:
V in Å³/f.u.: 123.9
Symmetry: No. 63

Cell and atoms, written as POSCAR:
```
CeNdPd4
1.0
4.139 0.000 -0.849
0.000 5.816 0.000
-0.045 0.000 10.300
Nd Ce Pd
2 2 8
direct
0.277 0.750 0.554 Nd
0.723 0.250 0.446 Nd
0.423 0.250 0.845 Ce
0.577 0.750 0.155 Ce
0.144 0.009 0.288 Pd
0.856 0.509 0.712 Pd
0.429 0.750 0.858 Pd
0.571 0.250 0.142 Pd
0.000 0.000 0.000 Pd
0.000 0.500 0.000 Pd
0.856 0.991 0.712 Pd
0.144 0.491 0.288 Pd
```



Least stable: model i



Model i:
CeNdPd2 | PBE | relaxed

Computed properties:
V in Å³/f.u.: 103.2
Symmetry: No. 166

Cell and atoms, written as POSCAR:
```
CeNdPd2
1.0
4.160 0.000 0.000
2.080 3.603 0.000
2.080 1.201 6.889
Pd Ce Nd
2 1 1
direct
0.253 0.253 0.240 Pd
0.747 0.747 0.760 Pd
0.000 0.000 0.000 Ce
0.500 0.500 0.500 Nd
```



Model ii:
CeNdPd2 | PBE | relaxed

Computed properties:
V in Å³/f.u.: 93.6
Symmetry: No. 225

Cell and atoms, written as POSCAR:
```
CeNdPd2
1.0
-2.717 3.871 -1.899
-2.565 -0.587 -4.364
-5.092 -0.198 0.044
Nd Pd Ce
1 2 1
direct
0.500 0.500 0.500 Nd
0.750 0.750 0.750 Pd
0.250 0.250 0.250 Pd
0.000 0.000 0.000 Ce
```



Least stable: model i